Model a:
A plane-wave DFT calculation with PBE-GGA was carried out for a relaxed structure of Ba2CuH2.

Magnetization (μB/f.u.): 0.00

Structure (CIF):
```
data_Ba2CuH2
_chemical_formula_sum 'Ba4 Cu2 H4'
_symmetry_space_group_name_H-M 'P 4/m b m'
_symmetry_Int_Tables_number 127
_symmetry_space_group_name_Hall '-P 4 2ab'
_cell_length_a 7.7616
_cell_length_b 7.7616
_cell_length_c 3.6437
_cell_angle_alpha 90.00
_cell_angle_beta 90.00
_cell_angle_gamma 90.00
loop_
_atom_site_label
_atom_site_type_symbol
_atom_site_fract_x
_atom_site_fract_y
_atom_site_fract_z
_atom_site_occupancy
Ba1 Ba 0.1796 0.3204 0.0000 1
Cu1 Cu 0.0000 0.0000 0.5000 1
H1 H 0.1218 0.6218 0.5000 1
```

Model b:
A plane-wave DFT calculation with PBE-GGA was carried out for a relaxed structure of Ba2CuH2.

Magnetization (μB/f.u.): 0.00

Structure (CIF):
```
data_Ba2CuH2
_chemical_formula_sum 'Ba4 Cu2 H4'
_symmetry_space_group_name_H-M 'I 4/m m m'
_symmetry_Int_Tables_number 139
_symmetry_space_group_name_Hall '-I 4 2'
_cell_length_a 4.2282
_cell_length_b 4.2282
_cell_length_c 14.3901
_cell_angle_alpha 90.00
_cell_angle_beta 90.00
_cell_angle_gamma 90.00
loop_
_atom_site_label
_atom_site_type_symbol
_atom_site_fract_x
_atom_site_fract_y
_atom_site_fract_z
_atom_site_occupancy
Ba1 Ba 0.0000 0.0000 0.1429 1
Cu1 Cu 0.0000 0.0000 0.5000 1
H1 H 0.0000 0.5000 0.2500 1
```

model b has the most favorable energy; the next structure is 114 meV per atom above.